# 1
# TbNd2SmDy, optimized geometry, DFT PBE
data_TbNd2SmDy
_chemical_formula_sum 'Tb2 Nd4 Sm2 Dy2'
_cell_length_a 8.212
_cell_length_b 6.753
_cell_length_c 6.225
_cell_angle_alpha 90.00
_cell_angle_beta 90.11
_cell_angle_gamma 90.00
_symmetry_space_group_name_H-M 'P 1 2/c 1'
_symmetry_Int_Tables_number 13
loop_
_symmetry_equiv_pos_as_xyz
'x,y,z'
'-x,-y,-z'
'-x,y,-z+1/2'
'x,-y,z+1/2'
loop_
_atom_site_label
_atom_site_fract_x
_atom_site_fract_y
_atom_site_fract_z
_atom_site_occupancy
Tb1 0.000 0.080 0.250 1
Nd1 0.304 0.194 0.749 1
Sm1 0.000 0.500 0.000 1
Dy1 0.500 0.341 0.250 1
# V ... 345.2 Å³ per cell
# Formation enthalpy at 0 K ... 1.315 eV/f.u.

=====

# 2
# LaZn2FeBi, optimized geometry, DFT PBE
data_LaZn2FeBi
_chemical_formula_sum 'La1 Zn2 Fe1 Bi1'
_cell_length_a 4.768
_cell_length_b 4.768
_cell_length_c 5.023
_cell_angle_alpha 90.00
_cell_angle_beta 90.00
_cell_angle_gamma 90.00
_symmetry_space_group_name_H-M 'P 4/m m m'
_symmetry_Int_Tables_number 123
_symmetry_space_group_name_Hall '-P 4 2'
loop_
_atom_site_label
_atom_site_fract_x
_atom_site_fract_y
_atom_site_fract_z
_atom_site_occupancy
La1 0.000 0.000 0.000 1
Zn1 0.000 0.500 0.500 1
Fe1 0.500 0.500 0.500 1
Bi1 0.500 0.500 0.000 1
# V ... 114.2 Å³ per cell
# Formation enthalpy at 0 K ... -0.463 eV/f.u.

=====

# 3
# NaB3I, optimized geometry, DFT PBE
data_NaB3I
_chemical_formula_sum 'Na1 B3 I1'
_cell_length_a 4.588
_cell_length_b 4.588
_cell_length_c 4.588
_cell_angle_alpha 90.00
_cell_angle_beta 90.00
_cell_angle_gamma 90.00
_symmetry_space_group_name_H-M 'P m -3 m'
_symmetry_Int_Tables_number 221
_symmetry_space_group_name_Hall '-P 4 2 3'
loop_
_atom_site_label
_atom_site_fract_x
_atom_site_fract_y
_atom_site_fract_z
_atom_site_occupancy
Na1 0.000 0.000 0.000 1
B1 0.000 0.500 0.500 1
I1 0.500 0.500 0.500 1
# V ... 96.6 Å³ per cell
# Formation energy without anion corrections ... 2.392 eV/atom
# Offset from the most stable computed form ... 0 meV per atom

=====

# 4
# CsCd3Sn2, optimized geometry, DFT PBE
data_CsCd3Sn2
_chemical_formula_sum 'Cs4 Cd12 Sn8'
_cell_length_a 18.062
_cell_length_b 4.992
_cell_length_c 9.163
_cell_angle_alpha 90.00
_cell_angle_beta 111.98
_cell_angle_gamma 90.00
_symmetry_space_group_name_H-M 'C 1 2/m 1'
_symmetry_Int_Tables_number 12
loop_
_symmetry_equiv_pos_as_xyz
'x,y,z'
'-x,-y,-z'
'-x,y,-z'
'x,-y,z'
'x+1/2,y+1/2,z'
'-x+1/2,-y+1/2,-z'
'-x+1/2,y+1/2,-z'
'x+1/2,-y+1/2,z'
loop_
_atom_site_label
_atom_site_fract_x
_atom_site_fract_y
_atom_site_fract_z
_atom_site_occupancy
Cs1 0.160 0.000 0.074 1
Cd1 0.030 0.000 0.355 1
Cd2 0.089 0.500 0.663 1
Cd3 0.185 0.500 0.442 1
Sn1 0.026 0.500 0.177 1
Sn2 0.176 0.000 0.657 1
# V ... 766.2 Å³ per cell
# Formation enthalpy at 0 K ... -0.700 eV/f.u.
# Offset from the most stable computed form ... 0 meV per atom

=====

# 5
# Pm3YTm2Bi6, optimized geometry, DFT PBE
data_Pm3YTm2Bi6
_chemical_formula_sum 'Pm6 Y2 Tm4 Bi12'
_cell_length_a 19.669
_cell_length_b 4.517
_cell_length_c 9.026
_cell_angle_alpha 90.00
_cell_angle_beta 103.10
_cell_angle_gamma 90.00
_symmetry_space_group_name_H-M 'C 1 2/m 1'
_symmetry_Int_Tables_number 12
loop_
_symmetry_equiv_pos_as_xyz
'x,y,z'
'-x,-y,-z'
'-x,y,-z'
'x,-y,z'
'x+1/2,y+1/2,z'
'-x+1/2,-y+1/2,-z'
'-x+1/2,y+1/2,-z'
'x+1/2,-y+1/2,z'
loop_
_atom_site_label
_atom_site_fract_x
_atom_site_fract_y
_atom_site_fract_z
_atom_site_occupancy
Pm1 0.000 0.000 0.000 1
Pm2 0.166 0.500 0.333 1
Y1 0.000 0.000 0.500 1
Tm1 0.167 0.500 0.833 1
Bi1 0.003 0.500 0.747 1
Bi2 0.166 0.000 0.590 1
Bi3 0.169 0.000 0.078 1
# V ... 781.1 Å³ per cell
# Formation enthalpy at 0 K ... -10.541 eV/f.u.

=====

# 6
# KReAs, optimized geometry, DFT PBE
data_KReAs
_chemical_formula_sum 'K4 Re4 As4'
_cell_length_a 7.039
_cell_length_b 7.039
_cell_length_c 7.039
_cell_angle_alpha 90.00
_cell_angle_beta 90.00
_cell_angle_gamma 90.00
_symmetry_space_group_name_H-M 'F -4 3 m'
_symmetry_Int_Tables_number 216
_symmetry_space_group_name_Hall 'F -4 2 3'
loop_
_atom_site_label
_atom_site_fract_x
_atom_site_fract_y
_atom_site_fract_z
_atom_site_occupancy
K1 0.000 0.000 0.000 1
Re1 0.250 0.250 0.250 1
As1 0.250 0.250 0.750 1
# V ... 348.8 Å³ per cell
# Formation enthalpy at 0 K ... 6.873 eV/f.u.
# Offset from the most stable computed form ... 1841 meV per atom

=====

# 7
# Li3Br, optimized geometry, DFT PBE
data_Li3Br
_chemical_formula_sum 'Li6 Br2'
_cell_length_a 5.612
_cell_length_b 5.612
_cell_length_c 5.612
_cell_angle_alpha 90.00
_cell_angle_beta 90.00
_cell_angle_gamma 90.00
_symmetry_space_group_name_H-M 'P m -3 n'
_symmetry_Int_Tables_number 223
_symmetry_space_group_name_Hall '-P 4n 2 3'
loop_
_atom_site_label
_atom_site_fract_x
_atom_site_fract_y
_atom_site_fract_z
_atom_site_occupancy
Li1 0.000 0.250 0.500 1
Br1 0.000 0.000 0.000 1
# V ... 176.8 Å³ per cell
# Formation energy without anion corrections ... -0.321 eV/atom
# Offset from the most stable computed form ... 289 meV per atom

=====

# 8
# Li3Er5H12, optimized geometry, DFT PBE
data_Li3Er5H12
_chemical_formula_sum 'Li24 Er40 H96'
_cell_length_a 12.334
_cell_length_b 12.334
_cell_length_c 12.334
_cell_angle_alpha 90.00
_cell_angle_beta 90.00
_cell_angle_gamma 90.00
_symmetry_space_group_name_H-M 'I a -3 d'
_symmetry_Int_Tables_number 230
_symmetry_space_group_name_Hall '-I 4bd 2c 3'
loop_
_atom_site_label
_atom_site_fract_x
_atom_site_fract_y
_atom_site_fract_z
_atom_site_occupancy
Li1 0.000 0.250 0.125 1
Er1 0.000 0.000 0.000 1
Er2 0.000 0.250 0.375 1
H1 0.010 0.067 0.339 1
# Energy ... -620.239 eV/cell
# V ... 1876.2 Å³ per cell

=====

# 9
# SnBi2As2Pd7, optimized geometry, DFT PBE
data_SnBi2As2Pd7
_chemical_formula_sum 'Sn2 Bi4 As4 Pd14'
_cell_length_a 5.721
_cell_length_b 5.735
_cell_length_c 14.458
_cell_angle_alpha 90.00
_cell_angle_beta 96.78
_cell_angle_gamma 90.00
_symmetry_space_group_name_H-M 'C 1 2/m 1'
_symmetry_Int_Tables_number 12
loop_
_symmetry_equiv_pos_as_xyz
'x,y,z'
'-x,-y,-z'
'-x,y,-z'
'x,-y,z'
'x+1/2,y+1/2,z'
'-x+1/2,-y+1/2,-z'
'-x+1/2,y+1/2,-z'
'x+1/2,-y+1/2,z'
loop_
_atom_site_label
_atom_site_fract_x
_atom_site_fract_y
_atom_site_fract_z
_atom_site_occupancy
Sn1 0.000 0.000 0.000 1
Bi1 0.126 0.000 0.399 1
As1 0.073 0.500 0.245 1
Pd1 0.000 0.500 0.000 1
Pd2 0.134 0.500 0.419 1
Pd3 0.207 0.250 0.857 1
# V ... 471.0 Å³ per cell
# Formation enthalpy at 0 K ... -4.175 eV/f.u.

=====

# 10
# Sr2MgPb, optimized geometry, DFT PBE
data_Sr2MgPb
_chemical_formula_sum 'Sr4 Mg2 Pb2'
_cell_length_a 4.111
_cell_length_b 5.739
_cell_length_c 12.149
_cell_angle_alpha 90.00
_cell_angle_beta 90.00
_cell_angle_gamma 90.00
_symmetry_space_group_name_H-M 'I m m 2'
_symmetry_Int_Tables_number 44
loop_
_symmetry_equiv_pos_as_xyz
'x,y,z'
'-x,-y,z'
'-x,y,z'
'x,-y,z'
'x+1/2,y+1/2,z+1/2'
'-x+1/2,-y+1/2,z+1/2'
'-x+1/2,y+1/2,z+1/2'
'x+1/2,-y+1/2,z+1/2'
loop_
_atom_site_label
_atom_site_fract_x
_atom_site_fract_y
_atom_site_fract_z
_atom_site_occupancy
Sr1 0.000 0.000 0.000 1
Sr2 0.000 0.500 0.208 1
Mg1 0.000 0.500 0.772 1
Pb1 0.000 0.000 0.458 1
# V ... 286.7 Å³ per cell
# Formation enthalpy at 0 K ... -1.030 eV/f.u.

=====

# 11
# Ho2Sc3N4, optimized geometry, DFT PBE
data_Ho2Sc3N4
_chemical_formula_sum 'Ho4 Sc6 N8'
_cell_length_a 10.908
_cell_length_b 3.294
_cell_length_c 8.141
_cell_angle_alpha 90.00
_cell_angle_beta 118.45
_cell_angle_gamma 90.00
_symmetry_space_group_name_H-M 'C 1 2/m 1'
_symmetry_Int_Tables_number 12
loop_
_symmetry_equiv_pos_as_xyz
'x,y,z'
'-x,-y,-z'
'-x,y,-z'
'x,-y,z'
'x+1/2,y+1/2,z'
'-x+1/2,-y+1/2,-z'
'-x+1/2,y+1/2,-z'
'x+1/2,-y+1/2,z'
loop_
_atom_site_label
_atom_site_fract_x
_atom_site_fract_y
_atom_site_fract_z
_atom_site_occupancy
Ho1 0.101 0.000 0.388 1
Sc1 0.000 0.500 0.000 1
Sc2 0.212 0.500 0.821 1
N1 0.105 0.000 0.906 1
N2 0.199 0.500 0.291 1
# V ... 257.2 Å³ per cell
# Formation energy without anion corrections ... -1.618 eV/atom

=====

# 12
# FeRe2Ru, optimized geometry, DFT PBE
data_FeRe2Ru
_chemical_formula_sum 'Fe4 Re8 Ru4'
_cell_length_a 6.106
_cell_length_b 6.106
_cell_length_c 6.106
_cell_angle_alpha 90.00
_cell_angle_beta 90.00
_cell_angle_gamma 90.00
_symmetry_space_group_name_H-M 'F -4 3 m'
_symmetry_Int_Tables_number 216
_symmetry_space_group_name_Hall 'F -4 2 3'
loop_
_atom_site_label
_atom_site_fract_x
_atom_site_fract_y
_atom_site_fract_z
_atom_site_occupancy
Fe1 0.000 0.000 0.000 1
Re1 0.000 0.000 0.500 1
Re2 0.250 0.250 0.250 1
Ru1 0.250 0.250 0.750 1
# V ... 227.7 Å³ per cell
# Formation enthalpy at 0 K ... 0.902 eV/f.u.
# Offset from the most stable computed form ... 239 meV per atom

=====

# 13
# Dy5Th3, optimized geometry, DFT PBE
data_Dy5Th3
_chemical_formula_sum 'Dy5 Th3'
_cell_length_a 3.569
_cell_length_b 3.569
_cell_length_c 20.061
_cell_angle_alpha 90.00
_cell_angle_beta 90.00
_cell_angle_gamma 90.00
_symmetry_space_group_name_H-M 'P 4/m m m'
_symmetry_Int_Tables_number 123
_symmetry_space_group_name_Hall '-P 4 2'
loop_
_atom_site_label
_atom_site_fract_x
_atom_site_fract_y
_atom_site_fract_z
_atom_site_occupancy
Dy1 0.000 0.000 0.000 1
Dy2 0.000 0.000 0.247 1
Dy3 0.500 0.500 0.379 1
Th1 0.000 0.000 0.500 1
Th2 0.500 0.500 0.126 1
# V ... 255.6 Å³ per cell
# Formation enthalpy at 0 K ... 0.235 eV/f.u.

=====

# 14
# Li4YAg5, optimized geometry, DFT PBE
data_Li4YAg5
_chemical_formula_sum 'Li4 Y1 Ag5'
_cell_length_a 3.278
_cell_length_b 3.278
_cell_length_c 16.454
_cell_angle_alpha 90.00
_cell_angle_beta 90.00
_cell_angle_gamma 90.00
_symmetry_space_group_name_H-M 'P 4/m m m'
_symmetry_Int_Tables_number 123
_symmetry_space_group_name_Hall '-P 4 2'
loop_
_atom_site_label
_atom_site_fract_x
_atom_site_fract_y
_atom_site_fract_z
_atom_site_occupancy
Li1 0.000 0.000 0.093 1
Li2 0.000 0.000 0.277 1
Y1 0.000 0.000 0.500 1
Ag1 0.500 0.500 0.000 1
Ag2 0.500 0.500 0.186 1
Ag3 0.500 0.500 0.370 1
# V ... 176.8 Å³ per cell
# Formation enthalpy at 0 K ... -2.125 eV/f.u.

=====

# 15
# HgBPPd2, optimized geometry, DFT PBE
data_HgBPPd2
_chemical_formula_sum 'Hg1 B1 P1 Pd2'
_cell_length_a 5.155
_cell_length_b 5.155
_cell_length_c 4.633
_cell_angle_alpha 90.00
_cell_angle_beta 90.00
_cell_angle_gamma 90.00
_symmetry_space_group_name_H-M 'P 4/m m m'
_symmetry_Int_Tables_number 123
_symmetry_space_group_name_Hall '-P 4 2'
loop_
_atom_site_label
_atom_site_fract_x
_atom_site_fract_y
_atom_site_fract_z
_atom_site_occupancy
Hg1 0.000 0.000 0.000 1
B1 0.500 0.500 0.500 1
P1 0.000 0.000 0.500 1
Pd1 0.000 0.500 0.000 1
# V ... 123.1 Å³ per cell
# Formation enthalpy at 0 K ... 9.224 eV/f.u.

=====

# 16
# Zr3FeHg, optimized geometry, DFT PBE
data_Zr3FeHg
_chemical_formula_sum 'Zr6 Fe2 Hg2'
_cell_length_a 8.009
_cell_length_b 3.446
_cell_length_c 8.038
_cell_angle_alpha 90.00
_cell_angle_beta 110.22
_cell_angle_gamma 90.00
_symmetry_space_group_name_H-M 'P 1 21/m 1'
_symmetry_Int_Tables_number 11
loop_
_symmetry_equiv_pos_as_xyz
'x,y,z'
'-x,-y,-z'
'-x,y+1/2,-z'
'x,-y+1/2,z'
loop_
_atom_site_label
_atom_site_fract_x
_atom_site_fract_y
_atom_site_fract_z
_atom_site_occupancy
Zr1 0.064 0.250 0.176 1
Zr2 0.200 0.750 0.522 1
Zr3 0.400 0.750 0.191 1
Fe1 0.418 0.250 0.434 1
Hg1 0.246 0.250 0.854 1
# V ... 208.2 Å³ per cell
# Formation enthalpy at 0 K ... -0.520 eV/f.u.
# Offset from the most stable computed form ... 0 meV per atom

=====

# 17
# HoTlAgTe2, optimized geometry, DFT PBE
data_HoTlAgTe2
_chemical_formula_sum 'Ho2 Tl2 Ag2 Te4'
_cell_length_a 8.203
_cell_length_b 5.007
_cell_length_c 8.320
_cell_angle_alpha 90.00
_cell_angle_beta 98.79
_cell_angle_gamma 90.00
_symmetry_space_group_name_H-M 'P 1 2/c 1'
_symmetry_Int_Tables_number 13
loop_
_symmetry_equiv_pos_as_xyz
'x,y,z'
'-x,-y,-z'
'-x,y,-z+1/2'
'x,-y,z+1/2'
loop_
_atom_site_label
_atom_site_fract_x
_atom_site_fract_y
_atom_site_fract_z
_atom_site_occupancy
Ho1 0.000 0.004 0.250 1
Tl1 0.500 0.367 0.750 1
Ag1 0.000 0.500 0.000 1
Te1 0.259 0.123 0.038 1
# V ... 337.7 Å³ per cell
# Formation energy without anion corrections ... -0.524 eV/atom

=====

# 18
# K5Pd3O3, optimized geometry, DFT PBE
data_K5Pd3O3
_chemical_formula_sum 'K5 Pd3 O3'
_cell_length_a 8.6739
_cell_length_b 8.6739
_cell_length_c 4.0192
_cell_angle_alpha 90.00
_cell_angle_beta 90.00
_cell_angle_gamma 120.00
_symmetry_space_group_name_H-M 'P -6 2 m'
_symmetry_Int_Tables_number 189
_symmetry_space_group_name_Hall 'P -6 -2'
loop_
_atom_site_label
_atom_site_fract_x
_atom_site_fract_y
_atom_site_fract_z
_atom_site_occupancy
K1 0.0000 0.7392 0.0000 1
K2 0.3333 0.6667 0.0000 1
Pd1 0.0000 0.3611 0.5000 1
O1 0.0000 0.3661 0.0000 1
# V ... 261.9 Å³ per cell
# Formation energy without anion corrections ... -0.712 eV/atom

=====

# 19
# LuZr2Ga, optimized geometry, DFT PBE
data_LuZr2Ga
_chemical_formula_sum 'Lu1 Zr2 Ga1'
_cell_length_a 4.425
_cell_length_b 4.425
_cell_length_c 4.431
_cell_angle_alpha 90.00
_cell_angle_beta 90.00
_cell_angle_gamma 90.00
_symmetry_space_group_name_H-M 'P 4/m m m'
_symmetry_Int_Tables_number 123
_symmetry_space_group_name_Hall '-P 4 2'
loop_
_atom_site_label
_atom_site_fract_x
_atom_site_fract_y
_atom_site_fract_z
_atom_site_occupancy
Lu1 0.000 0.000 0.000 1
Zr1 0.000 0.500 0.500 1
Ga1 0.500 0.500 0.000 1
# V ... 86.8 Å³ per cell
# Formation enthalpy at 0 K ... -1.025 eV/f.u.
# Offset from the most stable computed form ... 0 meV per atom

=====

# 20
# KAlIr2, optimized geometry, DFT PBE
data_KAlIr2
_chemical_formula_sum 'K1 Al1 Ir2'
_cell_length_a 2.807
_cell_length_b 4.341
_cell_length_c 7.286
_cell_angle_alpha 90.00
_cell_angle_beta 97.29
_cell_angle_gamma 90.00
_symmetry_space_group_name_H-M 'P 1 m 1'
_symmetry_Int_Tables_number 6
loop_
_symmetry_equiv_pos_as_xyz
'x,y,z'
'x,-y,z'
loop_
_atom_site_label
_atom_site_fract_x
_atom_site_fract_y
_atom_site_fract_z
_atom_site_occupancy
K1 0.000 0.000 0.000 1
Al1 0.615 0.500 0.344 1
Ir1 0.211 0.500 0.635 1
Ir2 0.682 0.000 0.559 1
# V ... 88.1 Å³ per cell
# Formation enthalpy at 0 K ... 0.540 eV/f.u.